YH8Rh2: relaxed, PBE.

Theoretical density, g cm⁻³: 5.509
Polymorph energy (0 for the lowest one), meV per atom: 42.0

Cell: 4.3760 4.3760 4.7662 Å, 90.00 90.00 90.00°
Fractional positions:
Y1 0.0000 0.0000 0.0000
H1 0.2809 0.2809 0.3051
H2 0.2809 0.2809 0.6949
H3 0.2809 0.7191 0.3051
H4 0.2809 0.7191 0.6949
H5 0.7191 0.2809 0.3051
H6 0.7191 0.2809 0.6949
H7 0.7191 0.7191 0.3051
H8 0.7191 0.7191 0.6949
Rh1 0.0000 0.5000 0.5000
Rh2 0.5000 0.0000 0.5000



RbCeAu2: relaxed, PBE.

Theoretical density, g cm⁻³: 7.468
Calculated formation energy, eV/atom: -0.3310
Polymorph energy (0 for the lowest one), meV per atom: 113.5

Cell: 4.3229 4.3229 25.5361 Å, 90.00 90.00 120.00°
Fractional positions:
Rb1 0.0000 0.0000 0.0000
Rb2 0.3333 0.6667 0.6667
Rb3 0.6667 0.3333 0.3333
Ce1 0.0000 0.0000 0.5000
Ce2 0.3333 0.6667 0.1667
Ce3 0.6667 0.3333 0.8333
Au1 0.0000 0.0000 0.2325
Au2 0.0000 0.0000 0.7675
Au3 0.3333 0.6667 0.4341
Au4 0.3333 0.6667 0.8992
Au5 0.6667 0.3333 0.1008
Au6 0.6667 0.3333 0.5659



CaAg3Cl: relaxed, PBE.

Theoretical density, g cm⁻³: 4.837
Energy relative to the elements, uncorrected, eV per formula unit: 1.58
Polymorph energy (0 for the lowest one), meV per atom: 0.0

Cell: 5.1556 5.1556 5.1556 Å, 90.00 90.00 90.00°
Fractional positions:
Ca1 0.0000 0.0000 0.0000
Ag1 0.0000 0.5000 0.5000
Ag2 0.5000 0.0000 0.5000
Ag3 0.5000 0.5000 0.0000
Cl1 0.5000 0.5000 0.5000



AcDyCdSb: relaxed, PBE.

Theoretical density, g cm⁻³: 8.549
Energy relative to the elements, uncorrected, eV per formula unit: -2.01

Cell: 7.8543 7.8543 7.8543 Å, 90.00 90.00 90.00°
Fractional positions:
Ac1 0.0000 0.0000 0.0000
Ac2 0.0000 0.5000 0.5000
Ac3 0.5000 0.0000 0.5000
Ac4 0.5000 0.5000 0.0000
Dy1 0.0000 0.0000 0.5000
Dy2 0.0000 0.5000 0.0000
Dy3 0.5000 0.0000 0.0000
Dy4 0.5000 0.5000 0.5000
Cd1 0.2500 0.2500 0.7500
Cd2 0.2500 0.7500 0.2500
Cd3 0.7500 0.2500 0.2500
Cd4 0.7500 0.7500 0.7500
Sb1 0.2500 0.2500 0.2500
Sb2 0.2500 0.7500 0.7500
Sb3 0.7500 0.2500 0.7500
Sb4 0.7500 0.7500 0.2500



Li2MgNi: relaxed, PBE.

Theoretical density, g cm⁻³: 2.509
Calculated formation energy, eV/atom: 0.1380

Cell: 3.6566 3.6566 19.1792 Å, 90.00 90.00 90.00°
Fractional positions:
Li1 0.2266 0.2500 0.1250
Li2 0.2500 0.7266 0.3750
Li3 0.2500 0.7734 0.8750
Li4 0.2734 0.2500 0.6250
Li5 0.7266 0.7500 0.6250
Li6 0.7500 0.2266 0.8750
Li7 0.7500 0.2734 0.3750
Li8 0.7734 0.7500 0.1250
Mg1 0.0000 0.0000 0.5000
Mg2 0.0000 0.5000 0.7500
Mg3 0.5000 0.0000 0.2500
Mg4 0.5000 0.5000 0.0000
Ni1 0.0000 0.0000 0.0000
Ni2 0.0000 0.5000 0.2500
Ni3 0.5000 0.0000 0.7500
Ni4 0.5000 0.5000 0.5000



TlZnIn2: relaxed, PBE.

Theoretical density, g cm⁻³: 7.806
Calculated formation energy, eV/atom: 0.1455

Cell: 4.3459 4.3459 22.5003 Å, 90.00 90.00 90.00°
Fractional positions:
Tl1 0.0000 0.0000 0.0000
Tl2 0.0000 0.5000 0.2500
Tl3 0.5000 0.0000 0.7500
Tl4 0.5000 0.5000 0.5000
Zn1 0.0000 0.0000 0.5000
Zn2 0.0000 0.5000 0.7500
Zn3 0.5000 0.0000 0.2500
Zn4 0.5000 0.5000 0.0000
In1 0.2413 0.2500 0.6250
In2 0.2500 0.7413 0.8750
In3 0.2500 0.7587 0.3750
In4 0.2587 0.2500 0.1250
In5 0.7413 0.7500 0.1250
In6 0.7500 0.2413 0.3750
In7 0.7500 0.2587 0.8750
In8 0.7587 0.7500 0.6250



NbPbIO2: relaxed, PBE.

Theoretical density, g cm⁻³: 6.752
Energy relative to the elements, uncorrected, eV per formula unit: 1.97
Polymorph energy (0 for the lowest one), meV per atom: 1192.6

Cell: 4.3125 4.3125 6.0698 Å, 90.00 90.00 90.00°
Fractional positions:
Nb1 0.0000 0.0000 0.0000
Pb1 0.5000 0.5000 0.5000
I1 0.5000 0.5000 0.0000
O1 0.0000 0.5000 0.5000
O2 0.5000 0.0000 0.5000



ZnAg2Mo: relaxed, PBE.

Theoretical density, g cm⁻³: 9.658
Calculated formation energy, eV/atom: 0.2687

Cell: 2.7529 2.7529 8.5551 Å, 90.00 90.00 90.00°
Fractional positions:
Zn1 0.0000 0.0000 0.0000
Ag1 0.5000 0.5000 0.2405
Ag2 0.5000 0.5000 0.7595
Mo1 0.0000 0.0000 0.5000



theoretical density of number 3 (CaAg3Cl)?
4.837 g cm⁻³



The highest theoretical density belongs to which entry?
ZnAg2Mo